DFT (PBE-GGA) results for crystalline NaMg4Ga5 at its relaxed geometry.

Energy of formation from the pure elements in eV/f.u.: -1.2
Calculated total energy in eV per formula unit: -24.02

Lattice parameters (Å, degrees): 3.0876 3.0876 20.7980 90.00 90.00 90.00
Sites, in units of the cell vectors:
Na 0.0000 0.0000 0.0000
Mg 0.0000 0.0000 0.2053
Mg 0.0000 0.0000 0.4016
Mg 0.0000 0.0000 0.5984
Mg 0.0000 0.0000 0.7947
Ga 0.5000 0.5000 0.1120
Ga 0.5000 0.5000 0.3046
Ga 0.5000 0.5000 0.5000
Ga 0.5000 0.5000 0.6954
Ga 0.5000 0.5000 0.8880